No. 1
A geometry-optimized Y3Si2Pt6 structure. Source: the Alexandria database, functional PBE.

Unit cell a=8.141 b=8.141 c=8.141 alpha=109.47 beta=109.47 gamma=109.47
Fractional coordinates of all 22 atoms:
Y 0.000 0.289 0.289
Y 0.000 0.711 0.711
Y 0.289 0.000 0.289
Y 0.289 0.289 0.000
Y 0.711 0.000 0.711
Y 0.711 0.711 0.000
Si 0.000 0.000 0.500
Si 0.000 0.500 0.000
Si 0.500 0.000 0.000
Si 0.500 0.500 0.500
Pt 0.000 0.319 0.681
Pt 0.000 0.681 0.319
Pt 0.319 0.000 0.681
Pt 0.319 0.319 0.639
Pt 0.319 0.639 0.319
Pt 0.319 0.681 0.000
Pt 0.361 0.681 0.681
Pt 0.639 0.319 0.319
Pt 0.681 0.000 0.319
Pt 0.681 0.319 0.000
Pt 0.681 0.361 0.681
Pt 0.681 0.681 0.361

Summary:
theoretical density	11942	kg/m³
formation energy without anion corrections	-102	kJ per mole of atoms
symmetry	Im-3m
E	-7.098	eV/atom

=====

No. 2
A geometry-optimized BeC2N structure. Source: the Alexandria database, functional PBE.

Unit cell a=2.569 b=2.569 c=4.619 alpha=90.00 beta=90.00 gamma=120.00
Fractional coordinates of all 4 atoms:
Be 0.000 0.000 0.000
C 0.000 0.000 0.386
C 0.667 0.333 0.516
N 0.667 0.333 0.819

Summary:
distance to the lowest polymorph of the same formula	21.2	kJ/mol of formula units
theoretical density	2958	kg/m³
formation energy without anion corrections	19	kJ per mole of atoms
symmetry	P3m1
E	-7.431	eV/atom

=====

No. 3
A geometry-optimized CrCuSe2 structure. Source: the Alexandria database, functional PBE.

Unit cell a=7.124 b=7.124 c=7.124 alpha=29.56 beta=29.56 gamma=29.56
Fractional coordinates of all 4 atoms:
Cr 0.000 0.000 0.000
Cu 0.518 0.518 0.518
Se 0.249 0.249 0.249
Se 0.403 0.403 0.403

Summary:
distance to the lowest polymorph of the same formula	72.4	kJ/mol of formula units
theoretical density	5828	kg/m³
formation energy without anion corrections	-17	kJ per mole of atoms
symmetry	R3m
E	-5.353	eV/atom

=====

No. 4
A geometry-optimized TbTm2Hg3 structure. Source: the Alexandria database, functional PBE.

Unit cell a=3.697 b=3.697 c=11.079 alpha=90.00 beta=90.00 gamma=90.00
Fractional coordinates of all 6 atoms:
Tb 0.000 0.000 0.000
Tm 0.000 0.000 0.335
Tm 0.000 0.000 0.665
Hg 0.500 0.500 0.172
Hg 0.500 0.500 0.500
Hg 0.500 0.500 0.828

Summary:
theoretical density	12045	kg/m³
energy of formation	-479	meV/atom
symmetry	P4/mmm
E	-2.892	eV/atom

=====

No. 5
A geometry-optimized Be2SnI6 structure. Source: the Alexandria database, functional PBE.

Unit cell a=4.091 b=7.930 c=12.417 alpha=72.27 beta=80.61 gamma=75.10
Fractional coordinates of all 9 atoms:
Be 0.210 0.314 0.270
Be 0.790 0.686 0.730
Sn 0.000 0.000 0.000
I 0.147 0.586 0.120
I 0.335 0.715 0.611
I 0.382 0.042 0.197
I 0.618 0.958 0.803
I 0.665 0.285 0.389
I 0.853 0.414 0.880

Summary:
theoretical density	4040	kg/m³
formation energy without anion corrections	-42	kJ per mole of atoms
symmetry	P-1
E	-2.739	eV/atom

=====

No. 6
A geometry-optimized PrSm4Tm5 structure. Source: the Alexandria database, functional PBE.

Unit cell a=8.724 b=8.724 c=11.151 alpha=90.26 beta=90.26 gamma=23.33
Fractional coordinates of all 10 atoms:
Pr 0.000 0.000 0.000
Sm 0.156 0.156 0.250
Sm 0.469 0.469 0.253
Sm 0.531 0.531 0.747
Sm 0.844 0.844 0.750
Tm 0.000 0.000 0.500
Tm 0.325 0.325 0.053
Tm 0.327 0.327 0.454
Tm 0.673 0.673 0.546
Tm 0.675 0.675 0.947

Summary:
distance to the lowest polymorph of the same formula	0.0	kJ/mol of formula units
theoretical density	7841	kg/m³
energy of formation	200	meV/atom
symmetry	C2/m
E	-4.401	eV/atom

=====

No. 7
A geometry-optimized SrAl2BiP structure. Source: the Alexandria database, functional PBE.

Unit cell a=4.858 b=4.858 c=5.756 alpha=90.00 beta=90.00 gamma=90.00
Fractional coordinates of all 5 atoms:
Sr 0.000 0.000 0.000
Al 0.000 0.500 0.500
Al 0.500 0.000 0.500
Bi 0.500 0.500 0.000
P 0.000 0.000 0.500

Summary:
theoretical density	4665	kg/m³
energy of formation	-130	meV/atom
symmetry	P4/mmm
E	-3.821	eV/atom

=====

No. 8
A geometry-optimized RbPr2PbS4 structure. Source: the Alexandria database, functional PBE.

Unit cell a=8.578 b=8.578 c=8.578 alpha=121.97 beta=117.79 gamma=90.25
Fractional coordinates of all 16 atoms:
Rb 0.500 0.000 0.000
Rb 0.500 0.500 0.500
Pr 0.000 0.000 0.000
Pr 0.000 0.000 0.500
Pr 0.000 0.500 0.000
Pr 0.500 0.000 0.500
Pb 0.000 0.500 0.500
Pb 0.500 0.500 0.000
S 0.213 0.241 0.972
S 0.231 0.759 0.472
S 0.238 0.228 0.490
S 0.238 0.747 0.010
S 0.762 0.253 0.990
S 0.762 0.772 0.510
S 0.769 0.241 0.528
S 0.787 0.759 0.028

Summary:
theoretical density	5229	kg/m³
formation energy without anion corrections	-141	kJ per mole of atoms
symmetry	Imma
E	-5.306	eV/atom

=====

No. 9
A geometry-optimized MgSc2InPd structure. Source: the Alexandria database, functional PBE.

Unit cell a=5.161 b=5.161 c=4.877 alpha=90.00 beta=90.00 gamma=90.00
Fractional coordinates of all 5 atoms:
Mg 0.000 0.000 0.000
Sc 0.000 0.500 0.000
Sc 0.500 0.000 0.000
In 0.000 0.000 0.500
Pd 0.500 0.500 0.500

Summary:
theoretical density	4288	kg/m³
energy of formation	717	meV/atom
symmetry	P4/mmm
E	-3.721	eV/atom

=====

No. 10
A geometry-optimized Pm3YTl2 structure. Source: the Alexandria database, functional PBE.

Unit cell a=5.215 b=10.227 c=6.874 alpha=90.00 beta=90.00 gamma=90.00
Fractional coordinates of all 12 atoms:
Pm 0.000 0.040 0.000
Pm 0.000 0.319 0.369
Pm 0.000 0.681 0.869
Pm 0.000 0.960 0.500
Pm 0.500 0.187 0.730
Pm 0.500 0.813 0.230
Y 0.500 0.458 0.093
Y 0.500 0.542 0.593
Tl 0.000 0.365 0.843
Tl 0.000 0.635 0.343
Tl 0.500 0.138 0.255
Tl 0.500 0.862 0.755

Summary:
distance to the lowest polymorph of the same formula	0.0	kJ/mol of formula units
theoretical density	8449	kg/m³
energy of formation	-280	meV/atom
symmetry	Pmc2_1
E	-4.522	eV/atom

=====

No. 11
A geometry-optimized Th2PaZn structure. Source: the Alexandria database, functional PBE.

Unit cell a=5.318 b=5.318 c=5.318 alpha=60.00 beta=60.00 gamma=60.00
Fractional coordinates of all 4 atoms:
Th 0.250 0.250 0.250
Th 0.750 0.750 0.750
Pa 0.000 0.000 0.000
Zn 0.500 0.500 0.500

Summary:
distance to the lowest polymorph of the same formula	71.2	kJ/mol of formula units
theoretical density	11878	kg/m³
energy of formation	219	meV/atom
symmetry	Fm-3m
E	-6.184	eV/atom

=====

No. 12
A geometry-optimized KAl3Ni structure. Source: the Alexandria database, functional PBE.

Unit cell a=4.689 b=4.689 c=4.689 alpha=90.00 beta=90.00 gamma=90.00
Fractional coordinates of all 5 atoms:
K 0.000 0.000 0.000
Al 0.000 0.500 0.500
Al 0.500 0.000 0.500
Al 0.500 0.500 0.000
Ni 0.500 0.500 0.500

Summary:
distance to the lowest polymorph of the same formula	0.0	kJ/mol of formula units
theoretical density	2878	kg/m³
energy of formation	4	meV/atom
symmetry	Pm-3m
E	-3.617	eV/atom